[1]
DFT (GGA-PBE) results for a geometry-optimized GdTm2 structure.

Cell and atoms, written as POSCAR:
```
GdTm2
1.0
0.0000 7.2005 7.2005
7.2005 0.0000 7.2005
7.2005 7.2005 0.0000
Gd Tm
2 4
direct
0.1250 0.1250 0.1250 Gd
0.8750 0.8750 0.8750 Gd
0.0000 0.0000 0.0000 Tm
0.0000 0.0000 0.5000 Tm
0.0000 0.5000 0.0000 Tm
0.5000 0.0000 0.0000 Tm
```

Properties
- calculated formation energy (eV/f.u.) = 7.520
- relative energy among the computed polymorphs (eV per formula unit) = 6.65
- space group = Fd-3m, No. 227
- E_tot (eV/atom) = -2.03

---

[2]
DFT (GGA-PBE) results for a geometry-optimized GdYTm2 structure.

Cell and atoms, written as POSCAR:
```
GdYTm2
1.0
5.6047 0.0000 0.0000
0.0000 6.2420 3.6040
0.0000 -6.2420 3.6040
Gd Y Tm
2 2 4
direct
0.2500 0.1670 0.8330 Gd
0.7500 0.8330 0.1670 Gd
0.2500 0.6653 0.8318 Y
0.7500 0.8318 0.6653 Y
0.2500 0.1679 0.3340 Tm
0.2500 0.6654 0.3332 Tm
0.7500 0.3332 0.6654 Tm
0.7500 0.3340 0.1679 Tm
```

Properties
- calculated formation energy (eV/f.u.) = 0.022
- space group = Ama2, No. 40
- E_tot (eV/atom) = -5.01